Entry 1:
A plane-wave DFT calculation with PBE was carried out for a geometry-optimized KSiP2 structure.

Calculated values
Energy relative to the lowest polymorph listed for this composition = 14.73 kJ/mol of atoms
Fermi-level density of states = 0.303 states/eV per atom
Formation energy without anion corrections = 0.048 eV/atom

Cell lengths 4.648, 4.648, 6.311 Å; angles 73.30, 73.30, 43.51 degrees
Element x y z (fractional)
K: 0.250 0.250 0.250
P: 0.041 0.041 0.863
P: 0.459 0.459 0.637
Si: 0.750 0.750 0.750

Entry 2:
A plane-wave DFT calculation with PBE was carried out for a geometry-optimized KSiP2 structure.

Calculated values
Energy relative to the lowest polymorph listed for this composition = 82.61 kJ/mol of atoms
Fermi-level density of states = 0.653 states/eV per atom
Formation energy without anion corrections = 0.751 eV/atom

Cell lengths 5.320, 5.320, 5.320 Å; angles 133.07, 133.07, 68.55 degrees
Element x y z (fractional)
K: 0.750 0.250 0.500
P: 0.000 0.000 0.000
P: 0.250 0.750 0.500
Si: 0.500 0.500 0.000

Entry 3:
A plane-wave DFT calculation with PBE was carried out for a geometry-optimized K2SiP structure.

Calculated values
Energy relative to the lowest polymorph listed for this composition = 27.00 kJ/mol of atoms
Fermi-level density of states = 0.568 states/eV per atom
Formation energy without anion corrections = 0.054 eV/atom

Cell lengths 12.456, 12.456, 9.113 Å; angles 46.89, 46.89, 90.00 degrees
Element x y z (fractional)
P: 0.000 0.000 0.000
P: 0.750 0.250 0.500
K: 0.836 0.125 0.250
K: 0.914 0.625 0.250
K: 0.375 0.164 0.750
K: 0.875 0.086 0.750
Si: 0.500 0.500 0.000
Si: 0.250 0.750 0.500

Entry 4:
A plane-wave DFT calculation with PBE was carried out for a geometry-optimized KSiP structure.

Calculated values
Fermi-level density of states = 0.062 states/eV per atom
Formation energy without anion corrections = 1.142 eV/atom

Cell lengths 4.860, 4.860, 4.860 Å; angles 60.00, 60.00, 60.00 degrees
Element x y z (fractional)
K: 0.750 0.750 0.750
P: 0.000 0.000 0.000
Si: 0.500 0.500 0.500

Entry 5:
A plane-wave DFT calculation with PBE was carried out for a geometry-optimized KSiP structure.

Calculated values
Fermi-level density of states = 0.594 states/eV per atom
Formation energy without anion corrections = -0.011 eV/atom

Cell lengths 6.396, 6.396, 3.307 Å; angles 75.02, 75.02, 29.96 degrees
Element x y z (fractional)
K: 0.998 0.998 0.002
P: 0.288 0.288 0.712
Si: 0.715 0.715 0.285

Entry 6:
A plane-wave DFT calculation with PBE was carried out for a geometry-optimized K2SiP structure.

Calculated values
Energy relative to the lowest polymorph listed for this composition = 1.06 kJ/mol of atoms
Fermi-level density of states = 0.506 states/eV per atom
Formation energy without anion corrections = -0.214 eV/atom

Cell lengths 6.455, 6.455, 6.455 Å; angles 147.04, 129.77, 61.39 degrees
Element x y z (fractional)
K: 0.025 0.025 0.000
K: 0.719 0.219 0.500
P: 0.441 0.441 0.000
Si: 0.315 0.815 0.500

Entry 7:
A plane-wave DFT calculation with PBE was carried out for a geometry-optimized KSiP3 structure.

Calculated values
Energy relative to the lowest polymorph listed for this composition = 0.00 kJ/mol of atoms
Fermi-level density of states = 0.739 states/eV per atom
Formation energy without anion corrections = 0.443 eV/atom

Cell lengths 4.720, 4.720, 4.720 Å; angles 90.00, 90.00, 90.00 degrees
Element x y z (fractional)
P: 0.000 0.500 0.000
P: 0.000 0.000 0.500
P: 0.500 0.000 0.000
K: 0.500 0.500 0.500
Si: 0.000 0.000 0.000

Entry 8:
A plane-wave DFT calculation with PBE was carried out for a geometry-optimized KSiP2 structure.

Calculated values
Energy relative to the lowest polymorph listed for this composition = 73.33 kJ/mol of atoms
Fermi-level density of states = 0.335 states/eV per atom
Formation energy without anion corrections = 0.655 eV/atom

Cell lengths 5.173, 5.173, 5.173 Å; angles 130.57, 130.57, 72.49 degrees
Element x y z (fractional)
K: 0.750 0.250 0.500
P: 0.000 0.000 0.000
P: 0.500 0.500 0.000
Si: 0.250 0.750 0.500

Entry 9:
A plane-wave DFT calculation with PBE was carried out for a geometry-optimized KSiP2 structure.

Calculated values
Energy relative to the lowest polymorph listed for this composition = 91.01 kJ/mol of atoms
Fermi-level density of states = 0.904 states/eV per atom
Formation energy without anion corrections = 0.838 eV/atom

Cell lengths 4.849, 4.849, 4.849 Å; angles 60.00, 60.00, 60.00 degrees
Element x y z (fractional)
K: 0.500 0.500 0.500
P: 0.000 0.000 0.000
P: 0.250 0.250 0.250
Si: 0.750 0.750 0.750

Entry 10:
A plane-wave DFT calculation with PBE was carried out for a geometry-optimized KSiP2 structure.

Calculated values
Energy relative to the lowest polymorph listed for this composition = 81.49 kJ/mol of atoms
Fermi-level density of states = 0.618 states/eV per atom
Formation energy without anion corrections = 0.740 eV/atom

Cell lengths 4.828, 4.828, 4.828 Å; angles 60.00, 60.00, 60.00 degrees
Element x y z (fractional)
P: 0.250 0.250 0.250
P: 0.750 0.750 0.750
K: 0.500 0.500 0.500
Si: 0.000 0.000 0.000

Entry 11:
A plane-wave DFT calculation with PBE was carried out for a geometry-optimized KSiP2 structure.

Calculated values
Energy relative to the lowest polymorph listed for this composition = 7.44 kJ/mol of atoms
Fermi-level density of states = 0.417 states/eV per atom
Formation energy without anion corrections = -0.028 eV/atom

Cell lengths 5.556, 5.556, 5.817 Å; angles 80.00, 80.00, 34.56 degrees
Element x y z (fractional)
K: 0.234 0.234 0.257
P: 0.981 0.981 0.899
P: 0.808 0.808 0.740
Si: 0.477 0.477 0.604

Entry 12:
A plane-wave DFT calculation with PBE was carried out for a geometry-optimized K3SiP structure.

Calculated values
Energy relative to the lowest polymorph listed for this composition = 0.00 kJ/mol of atoms
Fermi-level density of states = 0.969 states/eV per atom
Formation energy without anion corrections = 0.469 eV/atom

Cell lengths 6.194, 6.194, 6.194 Å; angles 90.00, 90.00, 90.00 degrees
Element x y z (fractional)
P: 0.000 0.000 0.000
K: 0.000 0.500 0.000
K: 0.000 0.000 0.500
K: 0.500 0.000 0.000
Si: 0.500 0.500 0.500